Record 1
Here is a relaxed Er3PuAs4 crystal from Alexandria. Energies are from PBE-GGA.

Excess energy over the best structure of this formula in the dataset ... 0 meV per atom
Total DFT energy (no corrections) ... -7.211 eV/atom
Formation energy ... -1.384 eV per atom

Cell lengths 8.180, 11.567, 4.103 Å; angles 90.00, 90.00, 90.00 degrees
Space group Cmmm (No. 65)
Unique sites:
Er  0.000  0.000  0.000 [2 per cell]
Er  0.250  0.250  0.500 [4 per cell]
Pu  0.000  0.500  0.000 [2 per cell]
As  0.000  0.250  0.000 [4 per cell]
As  0.249  0.000  0.500 [4 per cell]


Record 2
Here is a relaxed Ba2PdPt4Pb3 crystal from Alexandria. Energies are from PBE-GGA.

Total DFT energy (no corrections) ... -4.888 eV/atom
Formation energy ... -0.455 eV per atom

Cell lengths 4.698, 4.698, 11.503 Å; angles 90.00, 90.00, 90.00 degrees
Space group P-4m2 (No. 115)
Unique sites:
Ba  0.000  0.500  0.240 [2 per cell]
Pd  0.500  0.500  0.000 [1 per cell]
Pt  0.000  0.000  0.500 [1 per cell]
Pt  0.000  0.500  0.867 [2 per cell]
Pt  0.500  0.500  0.500 [1 per cell]
Pb  0.000  0.000  0.000 [1 per cell]
Pb  0.000  0.500  0.627 [2 per cell]


Record 3
Here is a relaxed ZrTaSi crystal from Alexandria. Energies are from PBE-GGA.

ΔE_f (raw) ... -0.6403 eV per atom
Total DFT energy (no corrections) ... -9.248 eV/atom

Cell lengths 5.197, 6.393, 6.390 Å; angles 90.00, 90.00, 90.00 degrees
Space group Ima2 (No. 46)
Unique sites:
Zr  0.250  0.157  0.000 [4 per cell]
Ta  0.250  0.663  0.180 [4 per cell]
Si  0.000  0.000  0.346 [4 per cell]


Record 4
Here is a relaxed Sr6MgPd2 crystal from Alexandria. Energies are from PBE-GGA.

Total DFT energy (no corrections) ... -2.782 eV/atom
Formation energy ... -0.329 eV per atom

Cell lengths 10.554, 10.693, 11.850 Å; angles 90.00, 90.00, 90.00 degrees
Space group Immm (No. 71)
Unique sites:
Sr  0.000  0.198  0.243 [8 per cell]
Sr  0.178  0.500  0.162 [8 per cell]
Sr  0.207  0.323  0.500 [8 per cell]
Mg  0.000  0.000  0.000 [2 per cell]
Mg  0.000  0.000  0.500 [2 per cell]
Pd  0.000  0.290  0.000 [4 per cell]
Pd  0.000  0.500  0.373 [4 per cell]


Record 5
Here is a relaxed CeBiAu crystal from Alexandria. Energies are from PBE-GGA.

Total DFT energy (no corrections) ... -4.855 eV/atom
Formation energy ... -0.491 eV per atom

Cell lengths 4.128, 4.128, 9.539 Å; angles 90.00, 90.00, 90.00 degrees
Space group I4mm (No. 107)
Unique sites:
Ce  0.000  0.000  0.000 [2 per cell]
Bi  0.000  0.000  0.663 [2 per cell]
Au  0.000  0.000  0.335 [2 per cell]


Record 6
Here is a relaxed KCaHfP2 crystal from Alexandria. Energies are from PBE-GGA.

Total DFT energy (no corrections) ... -3.422 eV/atom
Formation energy ... 1.353 eV per atom

Cell lengths 5.272, 5.272, 4.749 Å; angles 90.00, 90.00, 90.00 degrees
Space group P4/mmm (No. 123)
Unique sites:
K  0.000  0.000  0.000 [1 per cell]
Ca  0.000  0.000  0.500 [1 per cell]
Hf  0.500  0.500  0.500 [1 per cell]
P  0.000  0.500  0.000 [2 per cell]


Record 7
Here is a relaxed TcMoOs crystal from Alexandria. Energies are from PBE-GGA.

Excess energy over the best structure of this formula in the dataset ... 255 meV per atom
Total DFT energy (no corrections) ... -10.499 eV/atom
Formation energy ... 0.310 eV per atom

Cell lengths 3.212, 3.212, 8.810 Å; angles 90.00, 90.00, 90.00 degrees
Space group I4mm (No. 107)
Unique sites:
Tc  0.000  0.000  0.000 [2 per cell]
Mo  0.000  0.000  0.657 [2 per cell]
Os  0.000  0.000  0.321 [2 per cell]


Record 8
Here is a relaxed Co2HgOs crystal from Alexandria. Energies are from PBE-GGA.

Total DFT energy (no corrections) ... -5.824 eV/atom
Formation energy ... 0.612 eV per atom

Cell lengths 4.340, 4.340, 3.018 Å; angles 90.00, 90.00, 90.00 degrees
Space group P4/mmm (No. 123)
Unique sites:
Co  0.000  0.500  0.000 [2 per cell]
Hg  0.000  0.000  0.500 [1 per cell]
Os  0.500  0.500  0.500 [1 per cell]


Record 9
Here is a relaxed LaPm6HoEr2 crystal from Alexandria. Energies are from PBE-GGA.

Total DFT energy (no corrections) ... -4.597 eV/atom
Formation energy ... 0.117 eV per atom

Cell lengths 9.264, 15.241, 9.731 Å; angles 90.00, 98.00, 90.00 degrees
Space group C2/c (No. 15)
Unique sites:
La  0.000  0.094  0.250 [4 per cell]
Pm  0.065  0.324  0.445 [8 per cell]
Pm  0.098  0.107  0.621 [8 per cell]
Pm  0.206  0.273  0.818 [8 per cell]
Ho  0.000  0.470  0.750 [4 per cell]
Er  0.243  0.451  0.046 [8 per cell]


Record 10
Here is a relaxed Cs2AuF5 crystal from Alexandria. Energies are from PBE-GGA.

Excess energy over the best structure of this formula in the dataset ... 12 meV per atom
ΔE_f (raw) ... -1.9408 eV per atom
Total DFT energy (no corrections) ... -3.733 eV/atom

Cell lengths 6.336, 6.336, 9.627 Å; angles 90.00, 90.00, 90.00 degrees
Space group I4mm (No. 107)
Unique sites:
Cs  0.000  0.500  0.000 [4 per cell]
Au  0.000  0.000  0.244 [2 per cell]
F  0.000  0.000  0.498 [2 per cell]
F  0.221  0.221  0.239 [8 per cell]


Record 11
Here is a relaxed Co4AuSe8 crystal from Alexandria. Energies are from PBE-GGA.

ΔE_f (raw) ... -0.2526 eV per atom
Total DFT energy (no corrections) ... -4.835 eV/atom

Cell lengths 10.150, 10.150, 10.150 Å; angles 90.00, 90.00, 90.00 degrees
Space group F-43m (No. 216)
Unique sites:
Co  0.122  0.122  0.122 [16 per cell]
Au  0.000  0.000  0.500 [4 per cell]
Se  0.111  0.111  0.889 [16 per cell]
Se  0.143  0.143  0.357 [16 per cell]


Record 12
Here is a relaxed CsBeAsPd2 crystal from Alexandria. Energies are from PBE-GGA.

Total DFT energy (no corrections) ... -2.054 eV/atom
Formation energy ... 1.869 eV per atom

Cell lengths 5.216, 5.216, 5.071 Å; angles 90.00, 90.00, 90.00 degrees
Space group P4/mmm (No. 123)
Unique sites:
Cs  0.000  0.000  0.000 [1 per cell]
Be  0.000  0.000  0.500 [1 per cell]
As  0.500  0.500  0.500 [1 per cell]
Pd  0.000  0.500  0.000 [2 per cell]


Record 13
Here is a relaxed ZrTeMoI2 crystal from Alexandria. Energies are from PBE-GGA.

Excess energy over the best structure of this formula in the dataset ... 0 meV per atom
ΔE_f (raw) ... 0.5692 eV per atom
Total DFT energy (no corrections) ... -4.555 eV/atom

Cell lengths 5.729, 5.729, 5.641 Å; angles 90.00, 90.00, 90.00 degrees
Space group P4/mmm (No. 123)
Unique sites:
Zr  0.000  0.000  0.000 [1 per cell]
Te  0.000  0.000  0.500 [1 per cell]
Mo  0.500  0.500  0.500 [1 per cell]
I  0.000  0.500  0.000 [2 per cell]


Record 14
Here is a relaxed PrTm2Co crystal from Alexandria. Energies are from PBE-GGA.

Excess energy over the best structure of this formula in the dataset ... 111 meV per atom
Total DFT energy (no corrections) ... -5.253 eV/atom
Formation energy ... -0.046 eV per atom

Cell lengths 3.7844, 3.7844, 26.7783 Å; angles 90.00, 90.00, 120.00 degrees
Space group R3m (No. 160, hexagonal axes)
Unique sites:
Pr  0.0000  0.0000  0.0000 [3 per cell]
Tm  0.0000  0.0000  0.5521 [3 per cell]
Tm  0.0000  0.0000  0.7770 [3 per cell]
Co  0.0000  0.0000  0.1646 [3 per cell]


Record 15
Here is a relaxed SrP2PdS crystal from Alexandria. Energies are from PBE-GGA.

Excess energy over the best structure of this formula in the dataset ... 0 meV per atom
ΔE_f (raw) ... -0.2151 eV per atom
Total DFT energy (no corrections) ... -4.579 eV/atom

Cell lengths 4.634, 4.634, 5.281 Å; angles 90.00, 90.00, 90.00 degrees
Space group P4/mmm (No. 123)
Unique sites:
Sr  0.000  0.000  0.000 [1 per cell]
P  0.000  0.500  0.500 [2 per cell]
Pd  0.500  0.500  0.500 [1 per cell]
S  0.500  0.500  0.000 [1 per cell]


Record 16
Here is a relaxed Li2ZnCr crystal from Alexandria. Energies are from PBE-GGA.

Excess energy over the best structure of this formula in the dataset ... 27 meV per atom
Total DFT energy (no corrections) ... -3.463 eV/atom
Formation energy ... 0.218 eV per atom

Cell lengths 3.122, 3.122, 6.570 Å; angles 90.00, 90.00, 90.00 degrees
Space group P4mm (No. 99)
Unique sites:
Li  0.000  0.000  0.000 [1 per cell]
Li  0.500  0.500  0.273 [1 per cell]
Zn  0.000  0.000  0.509 [1 per cell]
Cr  0.500  0.500  0.733 [1 per cell]


Record 17
Here is a relaxed V2Tc2Se crystal from Alexandria. Energies are from PBE-GGA.

Excess energy over the best structure of this formula in the dataset ... 103 meV per atom
ΔE_f (raw) ... 0.3862 eV per atom
Total DFT energy (no corrections) ... -8.105 eV/atom

Cell lengths 3.772, 3.772, 12.127 Å; angles 90.00, 90.00, 90.00 degrees
Space group I4/mmm (No. 139)
Unique sites:
V  0.000  0.000  0.119 [4 per cell]
Tc  0.000  0.500  0.250 [4 per cell]
Se  0.000  0.000  0.500 [2 per cell]


Record 18
Here is a relaxed Y2HoSc5 crystal from Alexandria. Energies are from PBE-GGA.

Excess energy over the best structure of this formula in the dataset ... 0 meV per atom
Total DFT energy (no corrections) ... -6.119 eV/atom
Formation energy ... 0.026 eV per atom

Cell lengths 6.872, 10.686, 11.897 Å; angles 90.00, 90.00, 90.00 degrees
Space group Fmm2 (No. 42)
Unique sites:
Y  0.000  0.245  0.000 [8 per cell]
Ho  0.000  0.000  0.329 [4 per cell]
Sc  0.000  0.000  0.827 [4 per cell]
Sc  0.248  0.000  0.585 [8 per cell]
Sc  0.250  0.250  0.247 [8 per cell]


Record 19
Here is a relaxed BaLiZnHg crystal from Alexandria. Energies are from PBE-GGA.

Total DFT energy (no corrections) ... -1.548 eV/atom
Formation energy ... -0.195 eV per atom

Cell lengths 7.715, 7.715, 7.715 Å; angles 90.00, 90.00, 90.00 degrees
Space group F-43m (No. 216)
Unique sites:
Ba  0.000  0.000  0.000 [4 per cell]
Li  0.000  0.000  0.500 [4 per cell]
Zn  0.250  0.250  0.250 [4 per cell]
Hg  0.250  0.250  0.750 [4 per cell]


Record 20
Here is a relaxed TmMg2Pt2 crystal from Alexandria. Energies are from PBE-GGA.

Total DFT energy (no corrections) ... -4.828 eV/atom
Formation energy ... -0.879 eV per atom

Cell lengths 4.607, 4.639, 9.729 Å; angles 90.00, 90.03, 90.00 degrees
Space group P2_1/m (No. 11)
Unique sites:
Tm  0.249  0.250  0.323 [2 per cell]
Mg  0.250  0.250  0.671 [2 per cell]
Mg  0.250  0.250  0.987 [2 per cell]
Pt  0.250  0.750  0.158 [2 per cell]
Pt  0.251  0.750  0.509 [2 per cell]